Entry 1:
Entry from the Alexandria database: a relaxed La4PmDy15 crystal (GGA-PBE).

Output
Magnetization in μB/f.u.: 0.0
Theoretical density in Mg/m³: 7.95
Energy of formation from the pure elements in eV/atom: 0.027

Unit cell a=5.0926 b=5.0926 c=25.2695 alpha=90.00 beta=90.00 gamma=90.00
Last column: nearest neighbours and their distance in Å.
Sites, in units of the cell vectors:
La: 0.0000 0.0000 0.1003  12 Dy 3.59-3.60
La: 0.0000 0.0000 0.3002  12 Dy 3.58-3.61
La: 0.0000 0.0000 0.6998  12 Dy 3.58-3.61
La: 0.0000 0.0000 0.8997  12 Dy 3.59-3.60
Pm: 0.0000 0.0000 0.5000  12 Dy 3.56-3.60
Dy: 0.0000 0.5000 0.0000  8 Dy 3.59-3.60, 4 La 3.59
Dy: 0.0000 0.5000 0.2006  4 La 3.58-3.59, 8 Dy 3.59-3.60
Dy: 0.0000 0.5000 0.4014  8 Dy 3.56-3.60, 2 Pm 3.56, 2 La 3.61
Dy: 0.0000 0.5000 0.5986  8 Dy 3.56-3.60, 2 Pm 3.56, 2 La 3.61
Dy: 0.0000 0.5000 0.7994  4 La 3.58-3.59, 8 Dy 3.59-3.60
Dy: 0.5000 0.0000 0.0000  8 Dy 3.59-3.60, 4 La 3.59
Dy: 0.5000 0.0000 0.2006  4 La 3.58-3.59, 8 Dy 3.59-3.60
Dy: 0.5000 0.0000 0.4014  8 Dy 3.56-3.60, 2 Pm 3.56, 2 La 3.61
Dy: 0.5000 0.0000 0.5986  8 Dy 3.56-3.60, 2 Pm 3.56, 2 La 3.61
Dy: 0.5000 0.0000 0.7994  4 La 3.58-3.59, 8 Dy 3.59-3.60
Dy: 0.5000 0.5000 0.1002  8 Dy 3.59, 4 La 3.60
Dy: 0.5000 0.5000 0.3011  8 Dy 3.59-3.60, 4 La 3.60
Dy: 0.5000 0.5000 0.5000  8 Dy 3.56, 4 Pm 3.60
Dy: 0.5000 0.5000 0.6989  8 Dy 3.59-3.60, 4 La 3.60
Dy: 0.5000 0.5000 0.8998  8 Dy 3.59, 4 La 3.60



Entry 2:
Entry from the Alexandria database: a relaxed Tm4SbRh crystal (GGA-PBE).

Output
Formation energy without anion corrections in kJ/mol of formula units: -340
Magnetization in μB/f.u.: 0.0
Theoretical density in Mg/m³: 8.88

Unit cell a=4.8151 b=4.8065 c=7.2726 alpha=90.00 beta=90.06 gamma=90.00
Last column: nearest neighbours and their distance in Å.
Sites, in units of the cell vectors:
Tm: 0.9996 0.0000 0.2243  2 Rh 2.90-2.91, 2 Sb 3.13
Tm: 0.0004 0.0000 0.7757  2 Rh 2.90-2.91, 2 Sb 3.13
Tm: 0.4995 0.5000 0.2244  2 Rh 2.91, 2 Sb 3.13
Tm: 0.5005 0.5000 0.7756  2 Rh 2.91, 2 Sb 3.13
Sb: 0.0000 0.5000 0.5000  8 Tm 3.13
Rh: 0.5000 0.0000 0.0000  8 Tm 2.90-2.91



Entry 3:
Entry from the Alexandria database: a relaxed SrPmPAu crystal (GGA-PBE).

Output
Magnetization in μB/f.u.: 0.0
Theoretical density in Mg/m³: 7.60
Energy of formation from the pure elements in eV/atom: -0.790

Unit cell a=5.2214 b=5.2214 c=5.2214 alpha=60.00 beta=60.00 gamma=60.00
Last column: nearest neighbours and their distance in Å.
Sites, in units of the cell vectors:
Sr: 0.0000 0.0000 0.0000  4 P 3.20, 4 Au 3.20
Pm: 0.5000 0.5000 0.5000  4 P 3.20, 4 Au 3.20
P: 0.7500 0.7500 0.7500  4 Pm 3.20, 4 Sr 3.20
Au: 0.2500 0.2500 0.2500  4 Pm 3.20, 4 Sr 3.20



Entry 4:
Entry from the Alexandria database: a relaxed TiNbGaRu crystal (GGA-PBE).

Output
Magnetization in μB/f.u.: 1.7
Theoretical density in Mg/m³: 8.23
Energy of formation from the pure elements in eV/atom: -0.321

Unit cell a=4.4636 b=4.4636 c=4.4636 alpha=60.00 beta=60.00 gamma=60.00
Last column: nearest neighbours and their distance in Å.
Sites, in units of the cell vectors:
Ti: 0.0000 0.0000 0.0000  4 Ga 2.73, 4 Nb 2.73
Nb: 0.2500 0.2500 0.2500  4 Ru 2.73, 4 Ti 2.73
Ga: 0.7500 0.7500 0.7500  4 Ru 2.73, 4 Ti 2.73
Ru: 0.5000 0.5000 0.5000  4 Nb 2.73, 4 Ga 2.73



Entry 5:
Entry from the Alexandria database: a relaxed Al7Cu2Rh crystal (GGA-PBE).

Output
Magnetization in μB/f.u.: 0.0
Theoretical density in Mg/m³: 4.52
Energy of formation from the pure elements in eV/atom: -0.380

Unit cell a=6.4315 b=6.4315 c=14.8653 alpha=90.00 beta=90.00 gamma=90.00
Last column: nearest neighbours and their distance in Å.
Sites, in units of the cell vectors:
Al: 0.0000 0.0000 0.1273  1 Rh 2.53, 4 Cu 2.63
Al: 0.0000 0.0000 0.8727  1 Rh 2.53, 4 Cu 2.63
Al: 0.0861 0.3008 0.4029  3 Cu 2.55-2.59, 1 Rh 2.55, 4 Al 2.75-2.85
Al: 0.0861 0.3008 0.5971  3 Cu 2.55-2.59, 1 Rh 2.55, 4 Al 2.75-2.85
Al: 0.1484 0.6484 0.2500  2 Rh 2.55, 3 Al 2.70-2.75
Al: 0.1484 0.6484 0.7500  2 Rh 2.55, 3 Al 2.70-2.75
Al: 0.1992 0.4139 0.0971  3 Cu 2.55-2.59, 1 Rh 2.55, 4 Al 2.75-2.85
Al: 0.1992 0.4139 0.9029  3 Cu 2.55-2.59, 1 Rh 2.55, 4 Al 2.75-2.85
Al: 0.3008 0.9139 0.4029  3 Cu 2.55-2.59, 1 Rh 2.55, 4 Al 2.75-2.85
Al: 0.3008 0.9139 0.5971  3 Cu 2.55-2.59, 1 Rh 2.55, 4 Al 2.75-2.85
Al: 0.3516 0.1484 0.2500  2 Rh 2.55, 3 Al 2.70-2.75
Al: 0.3516 0.1484 0.7500  2 Rh 2.55, 3 Al 2.70-2.75
Al: 0.4139 0.8008 0.0971  3 Cu 2.55-2.59, 1 Rh 2.55, 4 Al 2.75-2.85
Al: 0.4139 0.8008 0.9029  3 Cu 2.55-2.59, 1 Rh 2.55, 4 Al 2.75-2.85
Al: 0.5000 0.5000 0.3727  1 Rh 2.53, 4 Cu 2.63
Al: 0.5000 0.5000 0.6273  1 Rh 2.53, 4 Cu 2.63
Al: 0.5861 0.1992 0.0971  3 Cu 2.55-2.59, 1 Rh 2.55, 4 Al 2.75-2.85
Al: 0.5861 0.1992 0.9029  3 Cu 2.55-2.59, 1 Rh 2.55, 4 Al 2.75-2.85
Al: 0.6484 0.8516 0.2500  2 Rh 2.55, 3 Al 2.70-2.75
Al: 0.6484 0.8516 0.7500  2 Rh 2.55, 3 Al 2.70-2.75
Al: 0.6992 0.0861 0.4029  3 Cu 2.55-2.59, 1 Rh 2.55, 4 Al 2.75-2.85
Al: 0.6992 0.0861 0.5971  3 Cu 2.55-2.59, 1 Rh 2.55, 4 Al 2.75-2.85
Al: 0.8008 0.5861 0.0971  3 Cu 2.55-2.59, 1 Rh 2.55, 4 Al 2.75-2.85
Al: 0.8008 0.5861 0.9029  3 Cu 2.55-2.59, 1 Rh 2.55, 4 Al 2.75-2.85
Al: 0.8516 0.3516 0.2500  2 Rh 2.55, 3 Al 2.70-2.75
Al: 0.8516 0.3516 0.7500  2 Rh 2.55, 3 Al 2.70-2.75
Al: 0.9139 0.6992 0.4029  3 Cu 2.55-2.59, 1 Rh 2.55, 4 Al 2.75-2.85
Al: 0.9139 0.6992 0.5971  3 Cu 2.55-2.59, 1 Rh 2.55, 4 Al 2.75-2.85
Cu: 0.0952 0.7313 0.0000  8 Al 2.55-2.63, 2 Cu 2.59
Cu: 0.2313 0.5952 0.5000  8 Al 2.55-2.63, 2 Cu 2.59
Cu: 0.2687 0.0952 0.0000  8 Al 2.55-2.63, 2 Cu 2.59
Cu: 0.4048 0.2313 0.5000  8 Al 2.55-2.63, 2 Cu 2.59
Cu: 0.5952 0.7687 0.5000  8 Al 2.55-2.63, 2 Cu 2.59
Cu: 0.7313 0.9048 0.0000  8 Al 2.55-2.63, 2 Cu 2.59
Cu: 0.7687 0.4048 0.5000  8 Al 2.55-2.63, 2 Cu 2.59
Cu: 0.9048 0.2687 0.0000  8 Al 2.55-2.63, 2 Cu 2.59
Rh: 0.0000 0.0000 0.2974  9 Al 2.53-2.55
Rh: 0.0000 0.0000 0.7026  9 Al 2.53-2.55
Rh: 0.5000 0.5000 0.2026  9 Al 2.53-2.55
Rh: 0.5000 0.5000 0.7974  9 Al 2.53-2.55



Entry 6:
Entry from the Alexandria database: a relaxed Tl2ReRh crystal (GGA-PBE).

Output
Magnetization in μB/f.u.: 0.3
Theoretical density in Mg/m³: 15.17
Energy of formation from the pure elements in eV/atom: 0.858

Unit cell a=3.0636 b=4.6690 c=5.3391 alpha=90.00 beta=90.00 gamma=90.00
Last column: nearest neighbours and their distance in Å.
Sites, in units of the cell vectors:
Tl: 0.0000 0.0000 0.0000  4 Rh 2.79, 6 Tl 3.06-3.08
Tl: 0.5000 0.0000 0.5000  4 Re 2.79, 6 Tl 3.06-3.08
Re: 0.0000 0.5000 0.5000  4 Tl 2.79, 2 Re 3.06, 4 Rh 3.08
Rh: 0.5000 0.5000 0.0000  4 Tl 2.79, 2 Rh 3.06, 4 Re 3.08



Entry 7:
Entry from the Alexandria database: a relaxed Nd3Cd2N crystal (GGA-PBE).

Output
Formation energy without anion corrections in kJ/mol of formula units: -369
Magnetization in μB/f.u.: 0.0
Theoretical density in Mg/m³: 7.46

Unit cell a=8.5044 b=8.5044 c=3.6285 alpha=90.00 beta=90.00 gamma=145.29
Last column: nearest neighbours and their distance in Å.
Sites, in units of the cell vectors:
Nd: 0.0000 0.0000 0.0000  2 N 2.54
Nd: 0.3905 0.6095 0.5000  2 N 2.54
Nd: 0.6095 0.3905 0.5000  2 N 2.54
Cd: 0.2012 0.7988 0.0000  2 Cd 2.99, 1 Nd 3.27
Cd: 0.7988 0.2012 0.0000  2 Cd 2.99, 1 Nd 3.27
N: 0.5000 0.5000 0.0000  6 Nd 2.54